Ca3Pa2S8 | PBE | relaxed

abc: 8.155 4.649 8.245
angles: 90.00 110.67 90.00
Element x y z (fractional)
Ca: 0.000 0.000 0.000
Ca: 0.276 0.500 0.277
Ca: 0.724 0.500 0.723
Pa: 0.261 0.000 0.739
Pa: 0.739 0.000 0.261
S: 0.113 0.000 0.378
S: 0.131 0.500 0.873
S: 0.362 0.500 0.634
S: 0.379 0.000 0.114
S: 0.621 0.000 0.886
S: 0.638 0.500 0.366
S: 0.869 0.500 0.127
S: 0.887 0.000 0.622

Results
E_tot ... -6.085 eV/atom
Space group ... P2/m, No. 10
Size of the total moment ... 0.00 μB/cell
Calculated volume ... 292.44 Å³/f.u.
Formation energy without anion corrections ... -1622 meV/atom